(1)
# GaCu4Hg2

A geometry-optimized GaCu4Hg2 structure (PBE, Alexandria).

As for the formation energy: 45.4 kJ/mol of atoms.

abc: 4.5470 4.5470 13.3121
angles: 90.00 90.00 90.00
Last column: nearest neighbours and their distance in Å.
Space group I4/mmm (No. 139)
Unique sites:
1 Ga 0.0000 0.0000 0.0000 x2  6 Cu 2.27-2.35
2 Cu 0.0000 0.0000 0.1769 x4  1 Ga 2.35, 1 Hg 2.54
3 Cu 0.0000 0.5000 0.0000 x4  2 Ga 2.27
4 Hg 0.0000 0.0000 0.3680 x4  1 Cu 2.54

=====

(2)
# Ba2AsP

A geometry-optimized Ba2AsP structure (PBE, Alexandria).

The calculation puts the energy relative to the lowest polymorph listed for this composition at 3.05 eV/f.u. As for the formation energy: -19.2 kJ/mol of atoms.

abc: 7.7962 7.7962 7.7962
angles: 90.00 90.00 90.00
Last column: nearest neighbours and their distance in Å.
Space group F-43m (No. 216)
Unique sites:
1 Ba 0.0000 0.0000 0.0000 x4  4 Ba 3.38, 4 As 3.38
2 Ba 0.2500 0.2500 0.2500 x4  4 P 3.38, 4 Ba 3.38
3 As 0.2500 0.2500 0.7500 x4  4 Ba 3.38, 4 P 3.38
4 P 0.0000 0.0000 0.5000 x4  4 As 3.38, 4 Ba 3.38

=====

(3)
# GaBSb3

A geometry-optimized GaBSb3 structure (PBE, Alexandria).

The calculation puts the energy relative to the lowest polymorph listed for this composition at 0.00 eV/f.u. For the formation energy (no corrections), the calculation gives 0.69 eV/atom.

abc: 4.8896 4.8896 4.8896
angles: 90.00 90.00 90.00
Last column: nearest neighbours and their distance in Å.
Space group Pm-3m (No. 221)
Unique sites:
1 Ga 0.0000 0.0000 0.0000 x1  12 Sb 3.46
2 B 0.5000 0.5000 0.5000 x1  6 Sb 2.44
3 Sb 0.0000 0.5000 0.5000 x3  2 B 2.44

=====

(4)
# KCuHg2

A geometry-optimized KCuHg2 structure (PBE, Alexandria).

The calculation puts the energy relative to the lowest polymorph listed for this composition at 0.44 eV/f.u. As for the formation energy: 3.1 kJ/mol of atoms.

abc: 5.1718 4.6405 5.9152
angles: 90.00 103.70 90.00
Last column: nearest neighbours and their distance in Å.
Space group Pm (No. 6)
Unique sites:
1 K 0.0000 0.0000 0.0000 x1  2 Cu 3.41, 3 Hg 3.47-3.59
2 Cu 0.1779 0.5000 0.4309 x1  4 Hg 2.59-2.64
3 Hg 0.3837 0.0000 0.5923 x1  2 Cu 2.64
4 Hg 0.6639 0.5000 0.3621 x1  2 Cu 2.59-2.64

=====

Number 1: density of states at the Fermi level 3.426 states/eV/f.u., mass density 8.7 g/cm3, total energy -2.3886 eV/atom. Number 2: density of states at the Fermi level 3.152 states/eV/f.u., mass density 5.3 g/cm3, total energy -3.6747 eV/atom. Number 3: density of states at the Fermi level 4.064 states/eV/f.u., mass density 6.3 g/cm3, total energy -3.7238 eV/atom. Number 4: density of states at the Fermi level 0.861 states/eV/f.u., mass density 6.1 g/cm3, total energy -1.4172 eV/atom.